An optimized crystal structure of Hf3CdC, computed with PBE.

Output
- Density of states at the Fermi level: 23.60 states/eV/cell
- Calculated formation energy: -0.2120 eV per atom
- Mass density: 10.646 g cm⁻³
- Energy above the lowest structure with this stoichiometry: 222 meV per atom

CIF file:
```
data_Hf3CdC
_space_group_name_H-M_alt 'R -3'
_space_group_IT_number 148
_space_group_name_Hall '-R 3'
_cell_length_a 5.6858
_cell_length_b 5.6858
_cell_length_c 22.0590
_cell_angle_alpha 90.00
_cell_angle_beta 90.00
_cell_angle_gamma 120.00
loop_
_atom_site_label
_atom_site_type_symbol
_atom_site_fract_x
_atom_site_fract_y
_atom_site_fract_z
Hf1 Hf 0.0054 0.3267 0.2771
Cd1 Cd 0.0000 0.0000 0.1649
C1 C 0.0000 0.0000 0.3367
```